Record 1
# CaOsRh2

Crystalline CaOsRh2 at its relaxed geometry (PBE, Alexandria via LeMat-Bulk).

a = 2.8446 Å, b = 2.8446 Å, c = 27.8691 Å
α = 90.00°, β = 90.00°, γ = 120.00°
Last column: nearest neighbours and their distance in Å.
Space group R3m (No. 160, hexagonal axes)
Unique sites:
1 Ca 0.0000 0.0000 0.0000 (multiplicity 3)  6 Ca 2.84, 3 Rh 2.89, 3 Os 3.06
2 Os 0.0000 0.0000 0.7593 (multiplicity 3)  3 Rh 2.64, 6 Os 2.84
3 Rh 0.0000 0.0000 0.2479 (multiplicity 3)  9 Rh 2.79-2.84, 3 Ca 2.89
4 Rh 0.0000 0.0000 0.5001 (multiplicity 3)  3 Os 2.64, 9 Rh 2.79-2.84

Values from the calculation:
E above lowest polymorph, eV per formula unit: 1.44
Energy, eV per atom: -6.57
Crystal system: trigonal

---

Record 2
# Ca2OsRh

Crystalline Ca2OsRh at its relaxed geometry (PBE, Alexandria via LeMat-Bulk).

a = 4.5572 Å, b = 4.3365 Å, c = 5.5156 Å
α = 90.00°, β = 114.31°, γ = 90.00°
Last column: nearest neighbours and their distance in Å.
Space group Pm (No. 6)
Unique sites:
1 Ca 0.0000 0.0000 0.0000 (multiplicity 1)  3 Os 2.98-3.10, 4 Rh 3.28-3.29
2 Ca 0.2845 0.5000 0.5702 (multiplicity 1)  3 Rh 2.98-3.11, 4 Os 3.28
3 Os 0.6907 0.0000 0.3826 (multiplicity 1)  2 Rh 2.38
4 Rh 0.5942 0.5000 0.1883 (multiplicity 1)  2 Os 2.38

Values from the calculation:
E above lowest polymorph, eV per formula unit: 0.00
Energy, eV per atom: -5.58
Crystal system: monoclinic

---

Record 3
# CaOs3Rh

Crystalline CaOs3Rh at its relaxed geometry (PBE, Alexandria via LeMat-Bulk).

a = 4.5512 Å, b = 4.5512 Å, c = 4.5512 Å
α = 90.00°, β = 90.00°, γ = 90.00°
Last column: nearest neighbours and their distance in Å.
Space group Pm-3m (No. 221)
Unique sites:
1 Ca 0.0000 0.0000 0.0000 (multiplicity 1)  6 Os 2.28
2 Os 0.0000 0.0000 0.5000 (multiplicity 3)  2 Ca 2.28
3 Rh 0.5000 0.5000 0.5000 (multiplicity 1)  12 Os 3.22

Values from the calculation:
E above lowest polymorph, eV per formula unit: 7.39
Energy, eV per atom: -5.37
Crystal system: cubic